Entry from the Alexandria database: a geometry-optimized Sm5Si3 structure (PBE-GGA).

## Properties
Its total energy is -5.593 eV per atom. For the total magnetic moment, the calculation gives 0.0 μB/f.u. For the volume, the calculation gives 26.66 A^3/atom. The value obtained for the uncorrected formation energy is -0.610 eV/atom.

Geometry as CIF:
```
data_Sm5Si3
_chemical_formula_sum 'Sm10 Si6'
_cell_length_a 8.6595
_cell_length_b 8.6595
_cell_length_c 6.5683
_cell_angle_alpha 90.00
_cell_angle_beta 90.00
_cell_angle_gamma 120.00
_symmetry_space_group_name_H-M 'P 63/m c m'
_symmetry_Int_Tables_number 193
_symmetry_space_group_name_Hall '-P 6c 2'
loop_
_atom_site_label
_atom_site_fract_x
_atom_site_fract_y
_atom_site_fract_z
_atom_site_occupancy
Sm1 0.0000 0.2458 0.2500 1
Sm2 0.3333 0.6667 0.0000 1
Si1 0.0000 0.3932 0.7500 1
```

---

Entry from the Alexandria database: a geometry-optimized Sm3Si structure (PBE-GGA).

## Properties
Its total energy is -5.054 eV per atom. For the total magnetic moment, the calculation gives 0.2 μB/f.u. For the volume, the calculation gives 33.19 A^3/atom. The value obtained for the uncorrected formation energy is -0.159 eV/atom.

Geometry as CIF:
```
data_Sm3Si
_chemical_formula_sum 'Sm6 Si2'
_cell_length_a 4.039
_cell_length_b 4.039
_cell_length_c 16.277
_cell_angle_alpha 90.00
_cell_angle_beta 90.00
_cell_angle_gamma 90.00
_symmetry_space_group_name_H-M 'I 4/m m m'
_symmetry_Int_Tables_number 139
_symmetry_space_group_name_Hall '-I 4 2'
loop_
_atom_site_label
_atom_site_fract_x
_atom_site_fract_y
_atom_site_fract_z
_atom_site_occupancy
Sm1 0.000 0.000 0.000 1
Sm2 0.000 0.000 0.324 1
Si1 0.000 0.000 0.500 1
```

---

Entry from the Alexandria database: a geometry-optimized Sm3Si structure (PBE-GGA).

## Properties
Its total energy is -4.897 eV per atom. For the total magnetic moment, the calculation gives 0.0 μB/f.u. For the volume, the calculation gives 31.20 A^3/atom. The value obtained for the uncorrected formation energy is -0.002 eV/atom.

Geometry as CIF:
```
data_Sm3Si
_chemical_formula_sum 'Sm3 Si1'
_cell_length_a 3.421
_cell_length_b 3.910
_cell_length_c 9.332
_cell_angle_alpha 90.00
_cell_angle_beta 90.00
_cell_angle_gamma 90.00
_symmetry_space_group_name_H-M 'P m m 2'
_symmetry_Int_Tables_number 25
_symmetry_space_group_name_Hall 'P 2 -2'
loop_
_atom_site_label
_atom_site_fract_x
_atom_site_fract_y
_atom_site_fract_z
_atom_site_occupancy
Sm1 0.000 0.000 0.000 1
Sm2 0.000 0.500 0.329 1
Sm3 0.500 0.500 0.718 1
Si1 0.500 0.000 0.482 1
```

---

Entry from the Alexandria database: a geometry-optimized Sm3Si structure (PBE-GGA).

## Properties
Its total energy is -5.166 eV per atom. For the total magnetic moment, the calculation gives 0.0 μB/f.u. For the volume, the calculation gives 28.36 A^3/atom. The value obtained for the uncorrected formation energy is -0.271 eV/atom.

Geometry as CIF:
```
data_Sm3Si
_chemical_formula_sum 'Sm6 Si2'
_cell_length_a 3.955
_cell_length_b 5.097
_cell_length_c 11.257
_cell_angle_alpha 90.00
_cell_angle_beta 90.00
_cell_angle_gamma 90.00
_symmetry_space_group_name_H-M 'I m m m'
_symmetry_Int_Tables_number 71
_symmetry_space_group_name_Hall '-I 2 2'
loop_
_atom_site_label
_atom_site_fract_x
_atom_site_fract_y
_atom_site_fract_z
_atom_site_occupancy
Sm1 0.000 0.000 0.000 1
Sm2 0.000 0.500 0.203 1
Si1 0.000 0.000 0.500 1
```

---

Entry from the Alexandria database: a geometry-optimized Sm3Si5 structure (PBE-GGA).

## Properties
Its total energy is -5.843 eV per atom. For the total magnetic moment, the calculation gives 0.0 μB/f.u. For the volume, the calculation gives 21.32 A^3/atom. The value obtained for the uncorrected formation energy is -0.684 eV/atom.

Geometry as CIF:
```
data_Sm3Si5
_chemical_formula_sum 'Sm24 Si40'
_cell_length_a 5.760
_cell_length_b 17.263
_cell_length_c 13.722
_cell_angle_alpha 90.00
_cell_angle_beta 90.00
_cell_angle_gamma 90.00
_symmetry_space_group_name_H-M 'F d d 2'
_symmetry_Int_Tables_number 43
_symmetry_space_group_name_Hall 'F 2 -2d'
loop_
_atom_site_label
_atom_site_fract_x
_atom_site_fract_y
_atom_site_fract_z
_atom_site_occupancy
Sm1 0.000 0.000 0.000 1
Sm2 0.004 0.331 0.004 1
Si1 0.000 0.000 0.434 1
Si2 0.015 0.172 0.913 1
Si3 0.017 0.336 0.587 1
```

---

Entry from the Alexandria database: a geometry-optimized Sm4Si structure (PBE-GGA).

## Properties
Its total energy is -4.833 eV per atom. For the total magnetic moment, the calculation gives 0.6 μB/f.u. For the volume, the calculation gives 35.24 A^3/atom. The value obtained for the uncorrected formation energy is 0.027 eV/atom.

Geometry as CIF:
```
data_Sm4Si
_chemical_formula_sum 'Sm4 Si1'
_cell_length_a 5.606
_cell_length_b 5.606
_cell_length_c 5.606
_cell_angle_alpha 90.00
_cell_angle_beta 90.00
_cell_angle_gamma 90.00
_symmetry_space_group_name_H-M 'P m -3 m'
_symmetry_Int_Tables_number 221
_symmetry_space_group_name_Hall '-P 4 2 3'
loop_
_atom_site_label
_atom_site_fract_x
_atom_site_fract_y
_atom_site_fract_z
_atom_site_occupancy
Sm1 0.000 0.000 0.000 1
Sm2 0.000 0.500 0.500 1
Si1 0.500 0.500 0.500 1
```

---

Question: The lowest volume belongs to which entry?
Answer: Sm3Si5

---

Question: Which value of total magnetic moment does entry 5 give?
Answer: 0.0 μB/f.u.